Compound: Na2PtC2
Source: Alexandria via LeMat-Bulk
Functional: GGA-PBE
Structure: relaxed

Output
The calculation puts the energy relative to the elements at 5.7 eV/f.u. The value obtained for the mass density is 7.0 g/cm3. Its symmetry is No. 139. The size of the total moment comes out at 0.00 Bohr magnetons per cell. As for the energy above the most stable polymorph in this dataset: 1.1993 eV/atom.

a = 2.620 Å, b = 2.620 Å, c = 9.378 Å
α = 81.97°, β = 81.97°, γ = 90.00°
Sites, in units of the cell vectors:
Na: 0.372 0.372 0.256
Na: 0.628 0.628 0.744
C: 0.750 0.250 0.500
C: 0.250 0.750 0.500
Pt: 0.000 0.000 0.000